1.
This record from Alexandria via LeMat-Bulk describes TcGe4Mo2 after structural relaxation. The functional is PBE.

Properties
Total energy ... -50.4 eV per formula unit
Calculated formation energy ... 17.2 meV per atom
Energy above the most stable polymorph in this dataset ... 0.0 meV per atom

Lattice parameters (Å, degrees): 14.6401 3.1262 5.5919 90.00 111.15 90.00
Last column: nearest neighbours and their distance in Å.
Space group C2/m (No. 12)
Symmetry-distinct sites (fractional):
Tc1 0.0000 0.0000 0.0000 [2 per cell]  6 Ge 2.46-2.50
Ge1 0.1108 0.5000 0.3241 [4 per cell]  2 Tc 2.50, 3 Mo 2.57-2.67
Ge2 0.1175 0.0000 0.7766 [4 per cell]  1 Tc 2.46, 3 Mo 2.59-2.61
Mo1 0.2447 0.0000 0.2439 [4 per cell]  6 Ge 2.57-2.67

***

2.
This record from Alexandria via LeMat-Bulk describes TcGe2Mo after structural relaxation. The functional is PBE.

Properties
Total energy ... -30.4 eV per formula unit
Calculated formation energy ... 14.4 meV per atom
Energy above the most stable polymorph in this dataset ... 0.0 meV per atom

Lattice parameters (Å, degrees): 3.0081 3.0081 23.5876 90.00 90.00 120.00
Last column: nearest neighbours and their distance in Å.
Space group R3m (No. 160, hexagonal axes)
Symmetry-distinct sites (fractional):
Tc1 0.0000 0.0000 0.0000 [3 per cell]  6 Ge 2.56-2.61
Ge1 0.0000 0.0000 0.5843 [3 per cell]  3 Tc 2.61, 3 Mo 2.69
Ge2 0.0000 0.0000 0.7463 [3 per cell]  3 Tc 2.56, 3 Mo 2.64
Mo1 0.0000 0.0000 0.1639 [3 per cell]  6 Ge 2.64-2.69

***

3.
This record from Alexandria via LeMat-Bulk describes TcGe4Mo after structural relaxation. The functional is PBE.

Properties
Total energy ... -40.4 eV per formula unit
Calculated formation energy ... -122.3 meV per atom

Lattice parameters (Å, degrees): 8.9480 3.3187 6.6214 90.00 111.60 90.00
Last column: nearest neighbours and their distance in Å.
Space group C2/m (No. 12)
Symmetry-distinct sites (fractional):
Tc1 0.0000 0.0000 0.0000 [2 per cell]  10 Ge 2.70-2.81
Ge1 0.1617 0.5000 0.8315 [4 per cell]  3 Tc 2.70-2.81, 5 Ge 2.70-2.76, 2 Mo 2.71
Ge2 0.1628 0.5000 0.3309 [4 per cell]  5 Ge 2.70-2.76, 2 Tc 2.71, 3 Mo 2.71-2.81
Mo1 0.0000 0.0000 0.5000 [2 per cell]  10 Ge 2.71-2.81

***

4.
This record from Alexandria via LeMat-Bulk describes TcGe2Mo after structural relaxation. The functional is PBE.

Properties
Total energy ... -28.2 eV per formula unit
Calculated formation energy ... 556.2 meV per atom
Energy above the most stable polymorph in this dataset ... 541.8 meV per atom

Lattice parameters (Å, degrees): 6.9156 6.9156 5.5476 90.00 90.00 90.00
Last column: nearest neighbours and their distance in Å.
Space group I-42d (No. 122)
Symmetry-distinct sites (fractional):
Tc1 0.0000 0.0000 0.0000 [4 per cell]  4 Ge 2.50, 2 Mo 2.77
Ge1 0.2409 0.2500 0.1250 [8 per cell]  2 Tc 2.50, 2 Mo 2.58, 2 Ge 2.78
Mo1 0.0000 0.0000 0.5000 [4 per cell]  4 Ge 2.58, 2 Tc 2.77

***

5.
This record from Alexandria via LeMat-Bulk describes TcGe2Mo after structural relaxation. The functional is PBE.

Properties
Total energy ... -29.3 eV per formula unit
Calculated formation energy ... 294.2 meV per atom
Energy above the most stable polymorph in this dataset ... 279.8 meV per atom

Lattice parameters (Å, degrees): 2.8848 2.8848 27.6067 90.00 90.00 120.00
Last column: nearest neighbours and their distance in Å.
Space group R-3m (No. 166, hexagonal axes)
Symmetry-distinct sites (fractional):
Tc1 0.0000 0.0000 0.0000 [3 per cell]  6 Ge 2.60, 6 Tc 2.88
Ge1 0.0000 0.0000 0.4055 [6 per cell]  3 Tc 2.60, 1 Mo 2.61, 6 Ge 2.88
Mo1 0.0000 0.0000 0.5000 [3 per cell]  2 Ge 2.61, 6 Mo 2.88

***

6.
This record from Alexandria via LeMat-Bulk describes TcGeMo2 after structural relaxation. The functional is PBE.

Properties
Total energy ... -36.0 eV per formula unit
Calculated formation energy ... 164.7 meV per atom

Lattice parameters (Å, degrees): 2.8438 2.8438 26.5462 90.00 90.00 120.00
Last column: nearest neighbours and their distance in Å.
Space group R3m (No. 160, hexagonal axes)
Symmetry-distinct sites (fractional):
Tc1 0.0000 0.0000 0.0000 [3 per cell]  6 Mo 2.75, 6 Tc 2.84
Ge1 0.0000 0.0000 0.8328 [3 per cell]  6 Mo 2.75-2.77, 6 Ge 2.84
Mo1 0.0000 0.0000 0.2504 [3 per cell]  3 Tc 2.75, 3 Ge 2.77, 6 Mo 2.84
Mo2 0.0000 0.0000 0.4166 [3 per cell]  3 Ge 2.75, 3 Tc 2.75, 6 Mo 2.84

***

7.
This record from Alexandria via LeMat-Bulk describes TcGe3Mo after structural relaxation. The functional is PBE.

Properties
Total energy ... -30.3 eV per formula unit
Calculated formation energy ... 952.2 meV per atom
Energy above the most stable polymorph in this dataset ... 847.8 meV per atom

Lattice parameters (Å, degrees): 4.7968 4.7968 4.7968 90.00 90.00 90.00
Last column: nearest neighbours and their distance in Å.
Space group Pm-3m (No. 221)
Symmetry-distinct sites (fractional):
Tc1 0.0000 0.0000 0.0000 [1 per cell]  6 Ge 2.40
Ge1 0.0000 0.0000 0.5000 [3 per cell]  2 Tc 2.40
Mo1 0.5000 0.5000 0.5000 [1 per cell]  12 Ge 3.39

***

8.
This record from Alexandria via LeMat-Bulk describes TcGe2Mo after structural relaxation. The functional is PBE.

Properties
Total energy ... -30.3 eV per formula unit
Calculated formation energy ... 33.4 meV per atom
Energy above the most stable polymorph in this dataset ... 18.9 meV per atom

Lattice parameters (Å, degrees): 3.0789 3.0789 6.2840 90.00 90.00 90.00
Last column: nearest neighbours and their distance in Å.
Space group P4/mmm (No. 123)
Symmetry-distinct sites (fractional):
Tc1 0.0000 0.0000 0.0000 [1 per cell]  8 Ge 2.64
Ge1 0.5000 0.5000 0.2390 [2 per cell]  4 Tc 2.64, 4 Mo 2.73
Mo1 0.0000 0.0000 0.5000 [1 per cell]  8 Ge 2.73

***

9.
This record from Alexandria via LeMat-Bulk describes TcGe2Mo after structural relaxation. The functional is PBE.

Properties
Total energy ... -30.2 eV per formula unit
Calculated formation energy ... 48.2 meV per atom
Energy above the most stable polymorph in this dataset ... 33.8 meV per atom

Lattice parameters (Å, degrees): 6.1995 6.1995 6.1995 90.00 90.00 90.00
Last column: nearest neighbours and their distance in Å.
Space group Fm-3m (No. 225)
Symmetry-distinct sites (fractional):
Tc1 0.0000 0.0000 0.0000 [4 per cell]  8 Ge 2.68
Ge1 0.2500 0.2500 0.2500 [8 per cell]  4 Mo 2.68, 4 Tc 2.68
Mo1 0.0000 0.0000 0.5000 [4 per cell]  8 Ge 2.68

***

10.
This record from Alexandria via LeMat-Bulk describes TcGe4Mo2 after structural relaxation. The functional is PBE.

Properties
Total energy ... -45.7 eV per formula unit
Calculated formation energy ... 683.3 meV per atom
Energy above the most stable polymorph in this dataset ... 666.1 meV per atom

Lattice parameters (Å, degrees): 4.7397 4.7397 12.6399 90.00 90.00 90.00
Last column: nearest neighbours and their distance in Å.
Space group I4/mmm (No. 139)
Symmetry-distinct sites (fractional):
Tc1 0.0000 0.0000 0.0000 [2 per cell]  6 Ge 2.37-2.55
Ge1 0.0000 0.0000 0.2016 [4 per cell]  1 Mo 2.54, 1 Tc 2.55
Ge2 0.0000 0.5000 0.0000 [4 per cell]  2 Tc 2.37
Mo1 0.0000 0.0000 0.4029 [4 per cell]  1 Mo 2.45, 5 Ge 2.54-2.67

***

11.
This record from Alexandria via LeMat-Bulk describes TcGeMo2 after structural relaxation. The functional is PBE.

Properties
Total energy ... -34.5 eV per formula unit
Calculated formation energy ... 531.1 meV per atom

Lattice parameters (Å, degrees): 3.7439 3.7439 18.7909 90.00 90.00 90.00
Last column: nearest neighbours and their distance in Å.
Space group I-42d (No. 122)
Symmetry-distinct sites (fractional):
Tc1 0.0000 0.0000 0.0000 [4 per cell]  4 Ge 2.65, 4 Mo 2.73
Ge1 0.0000 0.0000 0.5000 [4 per cell]  4 Tc 2.65, 4 Mo 2.66
Mo1 0.2244 0.2500 0.6250 [8 per cell]  4 Mo 2.52-2.79, 2 Ge 2.66, 2 Tc 2.73

***

12.
This record from Alexandria via LeMat-Bulk describes Tc3Ge2Mo2 after structural relaxation. The functional is PBE.

Properties
Total energy ... -62.4 eV per formula unit
Calculated formation energy ... -59.6 meV per atom

Lattice parameters (Å, degrees): 9.5819 3.1219 6.9570 90.00 95.52 90.00
Last column: nearest neighbours and their distance in Å.
Space group C2/m (No. 12)
Symmetry-distinct sites (fractional):
Tc1 0.0000 0.0000 0.0000 [2 per cell]  4 Ge 2.57, 4 Tc 2.75
Tc2 0.2199 0.5000 0.1518 [4 per cell]  2 Ge 2.60, 2 Mo 2.69, 4 Tc 2.73-2.75
Ge1 0.0710 0.5000 0.7334 [4 per cell]  4 Tc 2.57-2.60, 4 Mo 2.72-2.73
Mo1 0.1405 0.0000 0.4361 [4 per cell]  2 Tc 2.69, 3 Mo 2.70-2.92, 4 Ge 2.72-2.73

***

13.
This record from Alexandria via LeMat-Bulk describes TcGe2Mo after structural relaxation. The functional is PBE.

Properties
Total energy ... -30.0 eV per formula unit
Calculated formation energy ... 97.9 meV per atom
Energy above the most stable polymorph in this dataset ... 83.5 meV per atom

Lattice parameters (Å, degrees): 8.8036 11.8092 5.1305 90.00 112.81 90.00
Last column: nearest neighbours and their distance in Å.
Space group C2/c (No. 15)
Symmetry-distinct sites (fractional):
Tc1 0.0000 0.0582 0.2500 [4 per cell]  6 Ge 2.60-2.63, 2 Tc 2.91
Tc2 0.0000 0.3153 0.2500 [4 per cell]  6 Ge 2.62-2.66
Ge1 0.2426 0.1857 0.2573 [8 per cell]  3 Tc 2.60-2.66, 3 Mo 2.65-2.70, 2 Ge 2.87-2.88
Ge2 0.2473 0.0640 0.7453 [8 per cell]  3 Tc 2.62-2.63, 3 Mo 2.66-2.68, 1 Ge 2.87
Mo1 0.0000 0.1920 0.7500 [4 per cell]  6 Ge 2.65-2.70, 1 Mo 2.88, 3 Tc 2.95
Mo2 0.0000 0.4360 0.7500 [4 per cell]  6 Ge 2.68-2.70, 3 Mo 2.88-2.98, 3 Tc 2.93-2.94